No. 1
Below is a relaxed ZnCdRu2 crystal, with properties calculated at the PBEsol level.

POSCAR file:
```
ZnCdRu2
1.0
-2.016 2.016 3.586
2.016 -2.016 3.586
2.016 2.016 -3.586
Zn Cd Ru
1 1 2
direct
0.000 0.000 0.000 Zn
0.250 0.750 0.500 Cd
0.500 0.500 0.000 Ru
0.750 0.250 0.500 Ru
```

## Properties
- ρ: 10.82 g/cm3
- Energy of formation: 0.3214 eV/atom
- Crystal system: tetragonal

---

No. 2
Below is a relaxed HfNbIrW2 crystal, with properties calculated at the PBEsol level.

POSCAR file:
```
HfNbIrW2
1.0
4.698 0.000 0.000
0.000 4.698 0.000
0.000 0.000 4.689
Hf Nb Ir W
1 1 1 2
direct
0.000 0.000 0.000 Hf
0.500 0.500 0.500 Nb
0.500 0.500 0.000 Ir
0.000 0.500 0.500 W
0.500 0.000 0.500 W
```

## Properties
- ρ: 13.34 g/cm3
- Energy of formation: 1.7125 eV/atom
- Crystal system: tetragonal

---

No. 3
Below is a relaxed LiAl2Ru crystal, with properties calculated at the PBEsol level.

POSCAR file:
```
LiAl2Ru
1.0
-1.559 2.013 4.257
1.559 -2.013 4.257
1.559 2.013 -4.257
Li Al Ru
1 2 1
direct
0.000 0.000 0.000 Li
0.482 0.482 0.000 Al
0.746 0.246 0.500 Al
0.244 0.744 0.500 Ru
```

## Properties
- ρ: 5.04 g/cm3
- Energy of formation: -0.4069 eV/atom
- Crystal system: orthorhombic

---

No. 4
Below is a relaxed HfAlH2 crystal, with properties calculated at the PBEsol level.

POSCAR file:
```
HfAlH2
1.0
-2.147 2.147 4.671
2.147 -2.147 4.671
2.147 2.147 -4.671
Hf Al H
2 2 4
direct
0.000 0.000 0.000 Hf
0.750 0.250 0.500 Hf
0.250 0.750 0.500 Al
0.500 0.500 0.000 Al
0.125 0.625 0.000 H
0.375 0.375 0.500 H
0.625 0.125 0.000 H
0.875 0.875 0.500 H
```

## Properties
- ρ: 8.00 g/cm3
- Electronic total energy: -5.4199 eV per atom
- Crystal system: tetragonal

---

No. 5
Below is a relaxed IrRuRh2 crystal, with properties calculated at the PBEsol level.

POSCAR file:
```
IrRuRh2
1.0
4.444 -1.336 0.000
4.444 1.336 0.000
-0.796 0.000 4.566
Ir Ru Rh
1 1 2
direct
0.000 0.000 0.000 Ir
0.747 0.747 0.243 Ru
0.249 0.249 0.746 Rh
0.497 0.497 0.495 Rh
```

## Properties
- ρ: 15.29 g/cm3
- Energy above the lowest structure with this stoichiometry: 0.009 eV per atom
- Energy of formation: -0.0081 eV/atom
- Crystal system: monoclinic

---

No. 6
Below is a relaxed YHfAl2 crystal, with properties calculated at the PBEsol level.

POSCAR file:
```
YHfAl2
1.0
0.000 3.435 3.435
3.435 0.000 3.435
3.435 3.435 0.000
Y Hf Al
1 1 2
direct
0.000 0.000 0.000 Y
0.500 0.500 0.500 Hf
0.250 0.250 0.250 Al
0.750 0.750 0.750 Al
```

## Properties
- ρ: 6.58 g/cm3
- Energy of formation: -0.2612 eV/atom
- Crystal system: cubic

---

ρ of number 1 (ZnCdRu2)?
10.82 g/cm3

---

Among the records above, which one has the lowest ρ?
LiAl2Ru